No. 1
# GGA-PBEsol BeCr2P, optimized geometry
data_BeCr2P
_symmetry_space_group_name_H-M 'I -4 m 2'
_symmetry_Int_Tables_number 119
_symmetry_space_group_name_Hall 'I -4 -2'
_cell_length_a 3.396
_cell_length_b 3.396
_cell_length_c 7.131
_cell_angle_alpha 90.00
_cell_angle_beta 90.00
_cell_angle_gamma 90.00
loop_
_atom_site_label
_atom_site_type_symbol
_atom_site_fract_x
_atom_site_fract_y
_atom_site_fract_z
_atom_site_occupancy
Be1 Be 0.000 0.000 0.000 1
Cr1 Cr 0.000 0.000 0.500 1
Cr2 Cr 0.000 0.500 0.250 1
P1 P 0.000 0.500 0.750 1
# Crystal system   tetragonal
# E_tot   -7.72 eV/atom
# DFT formation energy   -0.16 eV per atom

No. 2
# GGA-PBEsol Be2CrP, optimized geometry
data_Be2CrP
_symmetry_space_group_name_H-M 'C m m 2'
_symmetry_Int_Tables_number 35
_cell_length_a 3.108
_cell_length_b 3.622
_cell_length_c 7.235
_cell_angle_alpha 90.00
_cell_angle_beta 90.00
_cell_angle_gamma 90.00
loop_
_symmetry_equiv_pos_as_xyz
'x,y,z'
'-x,-y,z'
'-x,y,z'
'x,-y,z'
'x+1/2,y+1/2,z'
'-x+1/2,-y+1/2,z'
'-x+1/2,y+1/2,z'
'x+1/2,-y+1/2,z'
loop_
_atom_site_label
_atom_site_type_symbol
_atom_site_fract_x
_atom_site_fract_y
_atom_site_fract_z
_atom_site_occupancy
Be1 Be 0.000 0.000 0.000 1
Be2 Be 0.000 0.500 0.211 1
Cr1 Cr 0.000 0.500 0.756 1
P1 P 0.000 0.000 0.493 1
# Crystal system   orthorhombic
# E_tot   -5.74 eV/atom
# DFT formation energy   0.26 eV per atom